# 1
Here is crystalline Ac2Pa2Se7 at its relaxed geometry from Alexandria via LeMat-Bulk. Energies are from PBE.

a b c (Å): 4.1542 15.4689 9.3666
angles (deg): 90.00 90.00 90.00
Closest atoms and distances in Å follow each position.
Space group Imm2 (No. 44)
Asymmetric unit:
Ac: 0.0000 0.0000 0.0000  7 Se 2.94-3.19
Ac: 0.0000 0.5000 0.0458  8 Se 3.00-3.24
Pa: 0.0000 0.2405 0.2393  7 Se 2.88-3.05
Se: 0.0000 0.0000 0.3142  3 Ac 2.94-3.00
Se: 0.0000 0.1201 0.7229  2 Pa 3.00, 3 Ac 3.19-3.24
Se: 0.0000 0.3109 0.9354  3 Pa 2.88-3.05, 1 Ac 3.10
Se: 0.0000 0.3499 0.5589  2 Pa 3.02, 2 Ac 3.16

Values from the calculation:
The uncorrected formation energy is -1.612 eV per atom. Its distance to the lowest polymorph of the same formula is 0.0 meV per atom. The value obtained for the calculated total energy is -69.33 eV per formula unit.



# 2
Here is crystalline LiZn3Hg at its relaxed geometry from Alexandria via LeMat-Bulk. Energies are from PBE.

a b c (Å): 4.7930 4.7930 4.7930
angles (deg): 90.00 90.00 90.00
Closest atoms and distances in Å follow each position.
Space group Pm-3m (No. 221)
Asymmetric unit:
Li: 0.0000 0.0000 0.0000  6 Zn 2.40
Zn: 0.0000 0.0000 0.5000  2 Li 2.40
Hg: 0.5000 0.5000 0.5000  12 Zn 3.39

Values from the calculation:
Its distance to the lowest polymorph of the same formula is 411.4 meV per atom. The value obtained for the calculated total energy is -4.33 eV per formula unit. The formation energy is 0.342 eV/atom.



- The lowest distance to the lowest polymorph of the same formula belongs to which entry?
  Ac2Pa2Se7



- Which of these has the highest distance to the lowest polymorph of the same formula?
  LiZn3Hg



- distance to the lowest polymorph of the same formula of number 1 (Ac2Pa2Se7)?
  0.0 meV per atom